Entry 1:
VASP calculation (PBE) on crystalline Li2CoAu at its relaxed geometry.

Cell lengths 2.680, 4.366, 4.792 Å; angles 90.00, 94.90, 90.00 degrees
Space group P2/m (No. 10)
Asymmetric unit:
Li: 0.232 0.000 0.259
Co: 0.000 0.500 0.500
Au: 0.500 0.500 0.000

Volume (A^3/atom): 13.97
Formation energy (eV per atom): -0.05



Entry 2:
VASP calculation (PBE) on crystalline Li2CoAu at its relaxed geometry.

Cell lengths 2.7372, 2.7372, 26.4519 Å; angles 90.00, 90.00, 120.00 degrees
Space group R-3m (No. 166, hexagonal axes)
Asymmetric unit:
Li: 0.0000 0.0000 0.2460
Co: 0.0000 0.0000 0.5000
Au: 0.0000 0.0000 0.0000

Volume (A^3/atom): 14.30
Formation energy (eV per atom): 0.03



Entry 3:
VASP calculation (PBE) on crystalline LiCo2Au at its relaxed geometry.

Cell lengths 3.190, 3.190, 5.195 Å; angles 90.00, 90.00, 90.00 degrees
Space group P4/mmm (No. 123)
Asymmetric unit:
Li: 0.000 0.000 0.000
Co: 0.500 0.500 0.223
Au: 0.000 0.000 0.500

Volume (A^3/atom): 13.22
Formation energy (eV per atom): 0.28



Entry 4:
VASP calculation (PBE) on crystalline Li2CoAu at its relaxed geometry.

Cell lengths 5.285, 8.743, 2.678 Å; angles 90.00, 115.37, 90.00 degrees
Space group C2/m (No. 12)
Asymmetric unit:
Li: 0.250 0.250 0.000
Co: 0.000 0.000 0.500
Au: 0.000 0.500 0.500

Volume (A^3/atom): 13.98
Formation energy (eV per atom): -0.04



Entry 5:
VASP calculation (PBE) on crystalline Li2CoAu2 at its relaxed geometry.

Cell lengths 7.256, 7.256, 2.746 Å; angles 90.00, 90.00, 90.00 degrees
Space group P4/mbm (No. 127)
Asymmetric unit:
Li: 0.123 0.377 0.000
Co: 0.000 0.000 0.000
Au: 0.177 0.677 0.500

Volume (A^3/atom): 14.46
Energy above the lowest structure with this stoichiometry (meV per atom): 0.0
Formation energy (eV per atom): -0.08



Entry 6:
VASP calculation (PBE) on crystalline LiCo2Au at its relaxed geometry.

Cell lengths 2.640, 4.571, 4.402 Å; angles 90.00, 93.90, 90.00 degrees
Space group P2/m (No. 10)
Asymmetric unit:
Li: 0.000 0.000 0.000
Co: 0.241 0.500 0.763
Au: 0.500 0.000 0.500

Volume (A^3/atom): 13.25
Formation energy (eV per atom): 0.12



Entry 7:
VASP calculation (PBE) on crystalline LiCo2Au at its relaxed geometry.

Cell lengths 3.515, 3.515, 4.159 Å; angles 90.00, 90.00, 90.00 degrees
Space group P4/mmm (No. 123)
Asymmetric unit:
Li: 0.000 0.000 0.000
Co: 0.000 0.500 0.500
Au: 0.500 0.500 0.000

Volume (A^3/atom): 12.85
Formation energy (eV per atom): 0.05



Entry 8:
VASP calculation (PBE) on crystalline Li2CoAu at its relaxed geometry.

Cell lengths 3.140, 3.140, 5.529 Å; angles 90.00, 90.00, 90.00 degrees
Space group P4/mmm (No. 123)
Asymmetric unit:
Li: 0.000 0.000 0.245
Co: 0.500 0.500 0.000
Au: 0.500 0.500 0.500

Volume (A^3/atom): 13.63
Formation energy (eV per atom): 0.02



The lowest formation energy belongs to which entry? Li2CoAu2



Which value of formation energy does entry 5 give? -0.08 eV per atom



Look up the volume of the eighth one. 13.63 A^3/atom



What is the volume in the first record? 13.97 A^3/atom